Record 1
# GGA-PBE Y2ErTc, relaxed
data_Y2ErTc
_chemical_formula_sum 'Y6 Er3 Tc3'
_symmetry_space_group_name_H-M 'R -3 m'
_symmetry_Int_Tables_number 166
_symmetry_space_group_name_Hall '-R 3 2"'
_cell_length_a 3.4268
_cell_length_b 3.4268
_cell_length_c 32.5910
_cell_angle_alpha 90.00
_cell_angle_beta 90.00
_cell_angle_gamma 120.00
loop_
_atom_site_label
_atom_site_fract_x
_atom_site_fract_y
_atom_site_fract_z
Y1 0.0000 0.0000 0.1042
Er1 0.0000 0.0000 0.0000
Tc1 0.0000 0.0000 0.5000
# Energy relative to the lowest polymorph listed for this composition ... 39.6 kJ per mole of atoms
# Formation energy from the elements ... 312 meV per atom

---

Record 2
# GGA-PBE Li3CdAs, relaxed
data_Li3CdAs
_chemical_formula_sum 'Li3 Cd1 As1'
_symmetry_space_group_name_H-M 'P m -3 m'
_symmetry_Int_Tables_number 221
_symmetry_space_group_name_Hall '-P 4 2 3'
_cell_length_a 4.821
_cell_length_b 4.821
_cell_length_c 4.821
_cell_angle_alpha 90.00
_cell_angle_beta 90.00
_cell_angle_gamma 90.00
loop_
_atom_site_label
_atom_site_fract_x
_atom_site_fract_y
_atom_site_fract_z
Li1 0.000 0.000 0.500
Cd1 0.000 0.000 0.000
As1 0.500 0.500 0.500
# Energy relative to the lowest polymorph listed for this composition ... 53.1 kJ per mole of atoms
# Formation energy from the elements ... 191 meV per atom

---

Record 3
# GGA-PBE TbCeTc, relaxed
data_TbCeTc
_chemical_formula_sum 'Tb2 Ce2 Tc2'
_symmetry_space_group_name_H-M 'P 1 21/m 1'
_symmetry_Int_Tables_number 11
_cell_length_a 5.089
_cell_length_b 3.576
_cell_length_c 8.126
_cell_angle_alpha 90.00
_cell_angle_beta 105.03
_cell_angle_gamma 90.00
loop_
_symmetry_equiv_pos_as_xyz
'x,y,z'
'-x,-y,-z'
'-x,y+1/2,-z'
'x,-y+1/2,z'
loop_
_atom_site_label
_atom_site_fract_x
_atom_site_fract_y
_atom_site_fract_z
Tb1 0.206 0.250 0.382
Ce1 0.247 0.750 0.034
Tc1 0.342 0.250 0.754
# Energy relative to the lowest polymorph listed for this composition ... 3.0 kJ per mole of atoms
# Formation energy from the elements ... -44 meV per atom

---

Record 4
# GGA-PBE Y2Si3Pt9, relaxed
data_Y2Si3Pt9
_chemical_formula_sum 'Y8 Si12 Pt36'
_symmetry_space_group_name_H-M 'C 1 2/c 1'
_symmetry_Int_Tables_number 15
_cell_length_a 13.292
_cell_length_b 7.688
_cell_length_c 10.051
_cell_angle_alpha 90.00
_cell_angle_beta 116.48
_cell_angle_gamma 90.00
loop_
_symmetry_equiv_pos_as_xyz
'x,y,z'
'-x,-y,-z'
'-x,y,-z+1/2'
'x,-y,z+1/2'
'x+1/2,y+1/2,z'
'-x+1/2,-y+1/2,-z'
'-x+1/2,y+1/2,-z+1/2'
'x+1/2,-y+1/2,z+1/2'
loop_
_atom_site_label
_atom_site_fract_x
_atom_site_fract_y
_atom_site_fract_z
Y1 0.170 0.085 0.251
Si1 0.089 0.231 0.498
Si2 0.250 0.250 0.000
Pt1 0.000 0.359 0.250
Pt2 0.060 0.079 0.926
Pt3 0.108 0.411 0.066
Pt4 0.109 0.306 0.744
Pt5 0.225 0.416 0.425
# Formation energy from raw total energies ... -0.946 eV/atom

---

Record 5
# GGA-PBE ZrAlAsBr2, relaxed
data_ZrAlAsBr2
_chemical_formula_sum 'Zr1 Al1 As1 Br2'
_symmetry_space_group_name_H-M 'P 4/m m m'
_symmetry_Int_Tables_number 123
_symmetry_space_group_name_Hall '-P 4 2'
_cell_length_a 4.898
_cell_length_b 4.898
_cell_length_c 5.105
_cell_angle_alpha 90.00
_cell_angle_beta 90.00
_cell_angle_gamma 90.00
loop_
_atom_site_label
_atom_site_fract_x
_atom_site_fract_y
_atom_site_fract_z
Zr1 0.000 0.000 0.000
Al1 0.500 0.500 0.500
As1 0.500 0.500 0.000
Br1 0.000 0.500 0.500
# Formation energy from raw total energies ... 0.142 eV/atom
# Energy relative to the lowest polymorph listed for this composition ... 40.6 kJ per mole of atoms

---

Record 6
# GGA-PBE PmPaNi3, relaxed
data_PmPaNi3
_chemical_formula_sum 'Pm4 Pa4 Ni12'
_symmetry_space_group_name_H-M 'C m c m'
_symmetry_Int_Tables_number 63
_symmetry_space_group_name_Hall '-C 2c 2'
_cell_length_a 3.683
_cell_length_b 24.861
_cell_length_c 4.059
_cell_angle_alpha 90.00
_cell_angle_beta 90.00
_cell_angle_gamma 90.00
loop_
_atom_site_label
_atom_site_fract_x
_atom_site_fract_y
_atom_site_fract_z
Pm1 0.000 0.070 0.250
Pa1 0.000 0.200 0.750
Ni1 0.000 0.314 0.750
Ni2 0.000 0.377 0.250
Ni3 0.000 0.474 0.250
# Energy relative to the lowest polymorph listed for this composition ... 0.0 kJ per mole of atoms
# Formation energy from the elements ... -359 meV per atom

---

Record 7
# GGA-PBE ScCrRu2, relaxed
data_ScCrRu2
_chemical_formula_sum 'Sc1 Cr1 Ru2'
_symmetry_space_group_name_H-M 'P 1 2/m 1'
_symmetry_Int_Tables_number 10
_cell_length_a 2.833
_cell_length_b 4.042
_cell_length_c 5.368
_cell_angle_alpha 90.00
_cell_angle_beta 102.95
_cell_angle_gamma 90.00
loop_
_symmetry_equiv_pos_as_xyz
'x,y,z'
'-x,-y,-z'
'-x,y,-z'
'x,-y,z'
loop_
_atom_site_label
_atom_site_fract_x
_atom_site_fract_y
_atom_site_fract_z
Sc1 0.000 0.000 0.000
Cr1 0.500 0.000 0.500
Ru1 0.318 0.500 0.724
# Formation energy from the elements ... 8 meV per atom

---

Record 8
# GGA-PBE LiPb3, relaxed
data_LiPb3
_chemical_formula_sum 'Li2 Pb6'
_symmetry_space_group_name_H-M 'I m m 2'
_symmetry_Int_Tables_number 44
_cell_length_a 3.669
_cell_length_b 10.813
_cell_length_c 5.656
_cell_angle_alpha 90.00
_cell_angle_beta 90.00
_cell_angle_gamma 90.00
loop_
_symmetry_equiv_pos_as_xyz
'x,y,z'
'-x,-y,z'
'-x,y,z'
'x,-y,z'
'x+1/2,y+1/2,z+1/2'
'-x+1/2,-y+1/2,z+1/2'
'-x+1/2,y+1/2,z+1/2'
'x+1/2,-y+1/2,z+1/2'
loop_
_atom_site_label
_atom_site_fract_x
_atom_site_fract_y
_atom_site_fract_z
Li1 0.000 0.000 0.000
Pb1 0.000 0.266 0.622
Pb2 0.000 0.500 0.031
# Formation energy from the elements ... -84 meV per atom

---

no.,density of states at the Fermi level (states/eV/f.u.)
1,6.2
2,0.2
3,2.6
4,6.3
5,4.4
6,5.0
7,4.6
8,1.8